No. 1
! PBE LaGdDyCd, relaxed; values from VASP
! Mass density: 7.803 g/cm³
! N(E_F): 5.68 states/eV/cell
! Energy relative to the elements: -0.2 eV per formula unit
! Total magnetization: 8.00 μB/cell
! Electronic total energy: -0.454 Ry per atom
&SYSTEM
  ibrav = 0, nat = 4, ntyp = 4
/
ATOMIC_SPECIES
Cd 112.41 Cd.upf
Gd 157.25 Gd.upf
Dy 162.50 Dy.upf
La 138.91 La.upf
CELL_PARAMETERS angstrom
-2.1452 -2.9649 4.1856
2.3128 -4.8447 1.4462
2.7674 -0.4355 4.8024
ATOMIC_POSITIONS angstrom
Cd 2.2013 -6.1838 7.8256
Gd 1.4675 -4.1225 5.2171
Dy 0.7338 -2.0613 2.6085
La 0.0000 0.0000 0.0000

---

No. 2
! PBE LiGdDyCd, relaxed; values from VASP
! Mass density: 7.013 g/cm³
! N(E_F): 4.17 states/eV/cell
! Energy relative to the elements: -0.5 eV per formula unit
! Total magnetization: 7.84 μB/cell
! Electronic total energy: -0.405 Ry per atom
&SYSTEM
  ibrav = 0, nat = 4, ntyp = 4
/
ATOMIC_SPECIES
Cd 112.41 Cd.upf
Gd 157.25 Gd.upf
Dy 162.50 Dy.upf
Li 6.94 Li.upf
CELL_PARAMETERS angstrom
5.2780 0.0000 0.0000
2.6390 4.5709 0.0000
2.6390 1.5236 4.3095
ATOMIC_POSITIONS angstrom
Cd 2.6390 1.5236 1.0774
Gd 0.0000 0.0000 0.0000
Dy 5.2780 3.0473 2.1547
Li 7.9170 4.5709 3.2321

---

No. 3
! PBE GdDyMgCd, relaxed; values from VASP
! Mass density: 7.054 g/cm³
! N(E_F): 3.02 states/eV/cell
! Energy relative to the elements: -0.9 eV per formula unit
! Total magnetization: 7.91 μB/cell
! Electronic total energy: -0.405 Ry per atom
&SYSTEM
  ibrav = 0, nat = 4, ntyp = 4
/
ATOMIC_SPECIES
Gd 157.25 Gd.upf
Dy 162.50 Dy.upf
Cd 112.41 Cd.upf
Mg 24.30 Mg.upf
CELL_PARAMETERS angstrom
-0.9301 4.1486 -3.2250
-4.0494 3.3210 1.0249
0.9837 4.9656 1.6889
ATOMIC_POSITIONS angstrom
Gd 0.0000 0.0000 0.0000
Dy -1.9979 6.2176 -0.2556
Cd -0.9990 3.1088 -0.1278
Mg -2.9969 9.3264 -0.3834

---

No. 4
! PBE GdDyMnCd, relaxed; values from VASP
! Mass density: 8.135 g/cm³
! N(E_F): 5.70 states/eV/cell
! Energy relative to the elements: 0.0 eV per formula unit
! Total magnetization: 10.64 μB/cell
! Electronic total energy: -0.528 Ry per atom
&SYSTEM
  ibrav = 0, nat = 4, ntyp = 4
/
ATOMIC_SPECIES
Cd 112.41 Cd.upf
Gd 157.25 Gd.upf
Mn 54.94 Mn.upf
Dy 162.50 Dy.upf
CELL_PARAMETERS angstrom
5.2001 0.0000 0.0000
2.6001 4.5035 0.0000
2.6001 1.5012 4.2459
ATOMIC_POSITIONS angstrom
Cd 2.6001 1.5012 1.0615
Gd 5.2001 3.0023 2.1229
Mn 7.8002 4.5035 3.1844
Dy 0.0000 0.0000 0.0000

---

No. 5
! PBE GdDyCdNi, relaxed; values from VASP
! Mass density: 8.789 g/cm³
! N(E_F): 2.69 states/eV/cell
! Energy relative to the elements: -1.0 eV per formula unit
! Total magnetization: 7.11 μB/cell
! Electronic total energy: -0.485 Ry per atom
&SYSTEM
  ibrav = 0, nat = 4, ntyp = 4
/
ATOMIC_SPECIES
Cd 112.41 Cd.upf
Ni 58.69 Ni.upf
Gd 157.25 Gd.upf
Dy 162.50 Dy.upf
CELL_PARAMETERS angstrom
-2.3635 -4.4630 0.5563
2.7081 -4.2318 0.7570
-0.0752 -2.2867 4.5365
ATOMIC_POSITIONS angstrom
Cd 0.2020 -8.2361 4.3874
Ni 0.0673 -2.7454 1.4625
Gd 0.0000 0.0000 0.0000
Dy 0.1347 -5.4908 2.9249

---

No. 6
! PBE GdDyCdPd, relaxed; values from VASP
! Mass density: 9.280 g/cm³
! N(E_F): 2.85 states/eV/cell
! Energy relative to the elements: -2.2 eV per formula unit
! Total magnetization: 7.09 μB/cell
! Electronic total energy: -0.495 Ry per atom
&SYSTEM
  ibrav = 0, nat = 4, ntyp = 4
/
ATOMIC_SPECIES
Dy 162.50 Dy.upf
Gd 157.25 Gd.upf
Cd 112.41 Cd.upf
Pd 106.42 Pd.upf
CELL_PARAMETERS angstrom
-3.8713 -3.2644 0.9164
0.4011 -3.4715 3.7777
-2.8332 0.5014 4.2667
ATOMIC_POSITIONS angstrom
Dy 0.0000 0.0000 0.0000
Gd -3.1517 -3.1173 4.4804
Cd -4.7275 -4.6759 6.7207
Pd -1.5758 -1.5586 2.2402

---

No. 7
! PBE PmGdDyCd, relaxed; values from VASP
! Mass density: 8.174 g/cm³
! N(E_F): 5.20 states/eV/cell
! Energy relative to the elements: 0.0 eV per formula unit
! Total magnetization: 8.00 μB/cell
! Electronic total energy: -0.448 Ry per atom
&SYSTEM
  ibrav = 0, nat = 4, ntyp = 4
/
ATOMIC_SPECIES
Pm 145.00 Pm.upf
Dy 162.50 Dy.upf
Cd 112.41 Cd.upf
Gd 157.25 Gd.upf
CELL_PARAMETERS angstrom
-5.1699 -0.1032 -1.8561
-0.9963 -1.0672 -5.2964
-2.3015 -4.7717 -1.4550
ATOMIC_POSITIONS angstrom
Pm -2.1169 -1.4855 -2.1519
Dy -4.2339 -2.9710 -4.3037
Cd -6.3508 -4.4566 -6.4556
Gd 0.0000 0.0000 0.0000

---

No. 8
! PBE GdDyCdPt, relaxed; values from VASP
! Mass density: 10.974 g/cm³
! N(E_F): 2.96 states/eV/cell
! Energy relative to the elements: -2.8 eV per formula unit
! Total magnetization: 7.11 μB/cell
! Electronic total energy: -0.523 Ry per atom
&SYSTEM
  ibrav = 0, nat = 4, ntyp = 4
/
ATOMIC_SPECIES
Gd 157.25 Gd.upf
Dy 162.50 Dy.upf
Cd 112.41 Cd.upf
Pt 195.08 Pt.upf
CELL_PARAMETERS angstrom
5.1201 0.0000 0.0000
2.5601 4.4341 0.0000
2.5601 1.4780 4.1806
ATOMIC_POSITIONS angstrom
Gd 2.5601 1.4780 1.0451
Dy 7.6802 4.4341 3.1354
Cd 5.1201 2.9561 2.0903
Pt 0.0000 0.0000 0.0000

---

No. 9
! PBE GdDyCdRh, relaxed; values from VASP
! Mass density: 9.583 g/cm³
! N(E_F): 2.26 states/eV/cell
! Energy relative to the elements: -2.0 eV per formula unit
! Total magnetization: 7.10 μB/cell
! Electronic total energy: -0.533 Ry per atom
&SYSTEM
  ibrav = 0, nat = 4, ntyp = 4
/
ATOMIC_SPECIES
Dy 162.50 Dy.upf
Rh 102.91 Rh.upf
Cd 112.41 Cd.upf
Gd 157.25 Gd.upf
CELL_PARAMETERS angstrom
5.0803 0.0000 0.0000
2.5401 4.3996 0.0000
2.5401 1.4665 4.1480
ATOMIC_POSITIONS angstrom
Dy 7.6204 4.3996 3.1110
Rh 5.0803 2.9331 2.0740
Cd 0.0000 0.0000 0.0000
Gd 2.5401 1.4665 1.0370

---

No. 10
! PBE GdDyCdRu, relaxed; values from VASP
! Mass density: 9.687 g/cm³
! N(E_F): 3.60 states/eV/cell
! Energy relative to the elements: -1.1 eV per formula unit
! Total magnetization: 7.06 μB/cell
! Electronic total energy: -0.550 Ry per atom
&SYSTEM
  ibrav = 0, nat = 4, ntyp = 4
/
ATOMIC_SPECIES
Ru 101.07 Ru.upf
Cd 112.41 Cd.upf
Gd 157.25 Gd.upf
Dy 162.50 Dy.upf
CELL_PARAMETERS angstrom
5.0563 0.0000 0.0000
2.5281 4.3789 0.0000
2.5281 1.4596 4.1284
ATOMIC_POSITIONS angstrom
Ru 7.5844 4.3789 3.0963
Cd 2.5281 1.4596 1.0321
Gd 5.0563 2.9192 2.0642
Dy 0.0000 0.0000 0.0000

---

No. 11
! PBE SmGdDyCd, relaxed; values from VASP
! Mass density: 8.246 g/cm³
! N(E_F): 5.23 states/eV/cell
! Energy relative to the elements: -0.2 eV per formula unit
! Total magnetization: 7.78 μB/cell
! Electronic total energy: -0.450 Ry per atom
&SYSTEM
  ibrav = 0, nat = 4, ntyp = 4
/
ATOMIC_SPECIES
Sm 150.36 Sm.upf
Gd 157.25 Gd.upf
Cd 112.41 Cd.upf
Dy 162.50 Dy.upf
CELL_PARAMETERS angstrom
-3.0577 -4.4869 -0.8423
-0.7897 -1.8674 -5.1068
2.3793 -4.6833 -1.6113
ATOMIC_POSITIONS angstrom
Sm 0.0000 0.0000 0.0000
Gd -0.7341 -5.5188 -3.7802
Cd -1.1011 -8.2782 -5.6704
Dy -0.3670 -2.7594 -1.8901

---

No. 12
! PBE GdDyThCd, relaxed; values from VASP
! Mass density: 9.382 g/cm³
! N(E_F): 5.09 states/eV/cell
! Energy relative to the elements: 0.3 eV per formula unit
! Total magnetization: 8.56 μB/cell
! Electronic total energy: -0.490 Ry per atom
&SYSTEM
  ibrav = 0, nat = 4, ntyp = 4
/
ATOMIC_SPECIES
Gd 157.25 Gd.upf
Cd 112.41 Cd.upf
Dy 162.50 Dy.upf
Th 232.04 Th.upf
CELL_PARAMETERS angstrom
5.4987 0.0000 0.0000
2.7494 4.7620 0.0000
2.7494 1.5873 4.4897
ATOMIC_POSITIONS angstrom
Gd 0.0000 0.0000 0.0000
Cd 8.2481 4.7620 3.3673
Dy 5.4987 3.1747 2.2448
Th 2.7494 1.5873 1.1224

---

No. 13
! PBE GdDyZnCd, relaxed; values from VASP
! Mass density: 8.280 g/cm³
! N(E_F): 3.08 states/eV/cell
! Energy relative to the elements: -1.3 eV per formula unit
! Total magnetization: 7.81 μB/cell
! Electronic total energy: -0.407 Ry per atom
&SYSTEM
  ibrav = 0, nat = 4, ntyp = 4
/
ATOMIC_SPECIES
Cd 112.41 Cd.upf
Dy 162.50 Dy.upf
Gd 157.25 Gd.upf
Zn 65.41 Zn.upf
CELL_PARAMETERS angstrom
5.2063 0.0000 0.0000
2.6031 4.5088 0.0000
2.6031 1.5029 4.2509
ATOMIC_POSITIONS angstrom
Cd 7.8094 4.5088 3.1882
Dy 5.2063 3.0058 2.1255
Gd 0.0000 0.0000 0.0000
Zn 2.6031 1.5029 1.0627

---

No. 14
! PBE DyCdGe, relaxed; values from VASP
! Mass density: 7.840 g/cm³
! N(E_F): 1.96 states/eV/cell
! Energy relative to the elements: -1.1 eV per formula unit
! Total magnetization: 0.00 μB/cell
! Electronic total energy: -0.276 Ry per atom
&SYSTEM
  ibrav = 0, nat = 3, ntyp = 3
/
ATOMIC_SPECIES
Dy 162.50 Dy.upf
Cd 112.41 Cd.upf
Ge 72.64 Ge.upf
CELL_PARAMETERS angstrom
4.7043 0.0000 0.0000
2.3521 4.0740 0.0000
2.3521 1.3580 3.8410
ATOMIC_POSITIONS angstrom
Dy 0.0000 0.0000 0.0000
Cd 4.7043 2.7160 1.9205
Ge 2.3521 1.3580 0.9603

---

No. 15
! PBE DyCd2Ge, relaxed; values from VASP
! Mass density: 8.568 g/cm³
! N(E_F): 1.65 states/eV/cell
! Energy relative to the elements: -1.6 eV per formula unit
! Total magnetization: 0.00 μB/cell
! ΔE to the lowest computed polymorph: 0 meV per atom
! Electronic total energy: -0.232 Ry per atom
&SYSTEM
  ibrav = 0, nat = 4, ntyp = 3
/
ATOMIC_SPECIES
Cd 112.41 Cd.upf
Dy 162.50 Dy.upf
Ge 72.64 Ge.upf
CELL_PARAMETERS angstrom
-3.8969 2.8050 -0.9965
-0.0895 -1.5370 -3.9760
-2.5866 -3.1414 1.2726
ATOMIC_POSITIONS angstrom
Cd -0.0448 -0.7685 -1.9880
Dy -1.9484 1.4025 -0.4983
Cd -1.2933 -1.5707 0.6363
Ge -3.2865 -0.9367 -1.8500

---

No. 16
! PBE DyCdGe, relaxed; values from VASP
! Mass density: 8.330 g/cm³
! N(E_F): 1.41 states/eV/cell
! Energy relative to the elements: -0.8 eV per formula unit
! Total magnetization: 0.00 μB/cell
! Electronic total energy: -0.267 Ry per atom
&SYSTEM
  ibrav = 0, nat = 3, ntyp = 3
/
ATOMIC_SPECIES
Dy 162.50 Dy.upf
Cd 112.41 Cd.upf
Ge 72.64 Ge.upf
CELL_PARAMETERS angstrom
3.4057 0.0000 0.0000
0.0000 3.4057 0.0000
-1.7028 -1.7028 5.9734
ATOMIC_POSITIONS angstrom
Dy 1.7028 1.7028 1.5147
Cd 1.7028 1.7028 5.2214
Ge 0.0000 0.0000 3.4188

---

No. 17
! PBE Dy2CdGe, relaxed; values from VASP
! Mass density: 8.797 g/cm³
! N(E_F): 2.48 states/eV/cell
! Energy relative to the elements: -2.0 eV per formula unit
! Total magnetization: 0.00 μB/cell
! Electronic total energy: -0.307 Ry per atom
&SYSTEM
  ibrav = 0, nat = 4, ntyp = 3
/
ATOMIC_SPECIES
Dy 162.50 Dy.upf
Cd 112.41 Cd.upf
Ge 72.64 Ge.upf
CELL_PARAMETERS angstrom
3.8172 0.0000 0.0000
0.0000 5.0223 0.0000
0.0000 0.0000 5.0223
ATOMIC_POSITIONS angstrom
Dy 0.0000 0.0000 2.5111
Cd 1.9086 2.5111 2.5111
Ge 1.9086 0.0000 0.0000
Dy 0.0000 2.5111 0.0000

---

No. 18
! PBE Dy2CdGe, relaxed; values from VASP
! Mass density: 7.660 g/cm³
! N(E_F): 3.28 states/eV/cell
! Energy relative to the elements: -1.7 eV per formula unit
! Total magnetization: 0.00 μB/cell
! Electronic total energy: -0.303 Ry per atom
&SYSTEM
  ibrav = 0, nat = 4, ntyp = 3
/
ATOMIC_SPECIES
Cd 112.41 Cd.upf
Ge 72.64 Ge.upf
Dy 162.50 Dy.upf
CELL_PARAMETERS angstrom
-0.0491 -0.2544 -4.3605
-2.8864 -2.5949 -2.0041
-5.3538 4.1069 -2.3673
ATOMIC_POSITIONS angstrom
Cd -4.1446 0.6288 -4.3659
Ge 0.0000 0.0000 0.0000
Dy -6.4016 1.1566 -6.5593
Dy -1.8877 0.1010 -2.1726

---

No. 19
! PBE DyCdGe, relaxed; values from VASP
! Mass density: 7.305 g/cm³
! N(E_F): 3.36 states/eV/cell
! Energy relative to the elements: -1.2 eV per formula unit
! Total magnetization: 0.00 μB/cell
! Electronic total energy: -0.278 Ry per atom
&SYSTEM
  ibrav = 0, nat = 6, ntyp = 3
/
ATOMIC_SPECIES
Cd 112.41 Cd.upf
Dy 162.50 Dy.upf
Ge 72.64 Ge.upf
CELL_PARAMETERS angstrom
3.9565 0.0000 0.0000
0.0000 4.3435 0.0000
-1.9783 0.0000 9.1943
ATOMIC_POSITIONS angstrom
Cd 1.9783 1.0859 0.8932
Dy 1.9783 3.2577 3.2754
Ge 0.0000 1.0859 2.9632
Dy 0.0000 1.0859 5.9188
Ge 1.9783 3.2577 6.2310
Cd 0.0000 3.2577 8.3010

---

No. 20
! PBE DyCdGe, relaxed; values from VASP
! Mass density: 8.545 g/cm³
! N(E_F): 2.69 states/eV/cell
! Energy relative to the elements: -1.6 eV per formula unit
! Total magnetization: 0.00 μB/cell
! Electronic total energy: -0.287 Ry per atom
&SYSTEM
  ibrav = 0, nat = 6, ntyp = 3
/
ATOMIC_SPECIES
Ge 72.64 Ge.upf
Dy 162.50 Dy.upf
Cd 112.41 Cd.upf
CELL_PARAMETERS angstrom
4.1593 0.0000 1.0940
1.8140 5.2556 1.5568
0.5571 0.0479 6.3357
ATOMIC_POSITIONS angstrom
Ge 2.6683 4.6051 6.7630
Dy 2.8189 1.6583 6.1901
Cd 5.1644 3.9482 5.7264
Cd 1.3661 1.3552 3.2600
Ge 3.8622 0.6984 2.2234
Dy 3.7116 3.6452 2.7964